Entry 1:
Entry from the Alexandria database: a geometry-optimized NiGeRh structure (GGA-PBE).

Summary:
space group	F-43m (216)
E_form	-0.33	eV/atom

Lattice parameters (Å, degrees): 3.977 3.977 3.977 60.00 60.00 60.00
Fractional coordinates of all 3 atoms:
Ni 0.000 0.000 0.000
Ge 0.250 0.250 0.250
Rh 0.500 0.500 0.500


Entry 2:
Entry from the Alexandria database: a geometry-optimized SrTeOs2 structure (GGA-PBE).

Summary:
formation energy from raw total energies	1.718	eV per formula unit
space group	C2/m (12)

Lattice parameters (Å, degrees): 5.704 5.704 6.419 120.27 120.27 39.72
Fractional coordinates of all 4 atoms:
Sr 0.000 0.000 0.000
Te 0.500 0.500 0.500
Os 0.212 0.212 0.555
Os 0.788 0.788 0.445


| no. | V (Å³/f.u.) | calculated total energy (eV per atom) | DOS(E_F) (states/eV per cell) |
| --- | --- | --- | --- |
| 1 | 44.5 | -6.245 | 1.13 |
| 2 | 112.6 | -6.391 | 1.31 |